# Sm4CdPt

A crystal of Sm4CdPt relaxed with PBEsol (meta-GGA SCAN, Alexandria).

POSCAR file:
```
Sm4CdPt
1.0
0.000 6.865 6.865
6.865 0.000 6.865
6.865 6.865 0.000
Sm Cd Pt
16 4 4
direct
0.186 0.186 0.814
0.186 0.814 0.186
0.186 0.814 0.814
0.398 0.398 0.398
0.398 0.398 0.805
0.398 0.805 0.398
0.558 0.558 0.942
0.558 0.942 0.558
0.558 0.942 0.942
0.805 0.398 0.398
0.814 0.186 0.186
0.814 0.186 0.814
0.814 0.814 0.186
0.942 0.558 0.558
0.942 0.558 0.942
0.942 0.942 0.558
0.170 0.170 0.170
0.170 0.170 0.491
0.170 0.491 0.170
0.491 0.170 0.170
0.180 0.607 0.607
0.607 0.180 0.607
0.607 0.607 0.180
0.607 0.607 0.607
```

Symmetry: F-43m, No. 216
Total magnetic moment: 0.00 μB/cell
E_tot: -1130.682 eV per cell
Crystal system: cubic